First-principles (PBEsol) data for an optimized crystal structure of ZnCr3Rh, as listed in Alexandria.

Summary:
* crystal system: cubic
* energy relative to the elements: 7.30 eV per formula unit
* Fermi-level density of states: 5.84 states/eV/cell

a b c (Å): 4.621 4.621 4.621
angles (deg): 90.00 90.00 90.00
Each line ends with the local moment (μB).
Fractional positions:
Cr 0.500 0.000 0.000  3.19
Cr 0.000 0.000 0.500  3.19
Cr 0.000 0.500 0.000  3.19
Zn 0.500 0.500 0.500  -0.02
Rh 0.000 0.000 0.000  -0.14